AgBH2F8 PBE relaxed; final energy = -4.194 eV per atom; density = 2.9 Mg/m³
1.0
4.755 -0.287 0.639
-0.265 4.957 0.137
0.849 0.200 6.749
Ag B H F
1 1 2 8
Direct
0.000 0.000 0.500
0.000 0.000 0.000
0.290 0.356 0.725
0.710 0.644 0.275
0.199 0.880 0.056
0.693 0.674 0.135
0.891 0.166 0.267
0.801 0.120 0.944
0.307 0.326 0.865
0.109 0.834 0.733
0.754 0.665 0.483
0.246 0.335 0.517